Pm12Tm5Sc2 | PBE | optimized geometry

The structure belongs to space group C2/m (No. 12); the cell edges are 15.7069, 9.1485 and 8.6204 Å and the angles 90.00°, 92.34° and 90.00°. The distinct sites, in fractional coordinates, are Pm at (0.0596, 0.0000, 0.3409), Pm at (0.0807, 0.5000, 0.8855), Pm at (0.1285, 0.1976, 0.6848), Pm at (0.1499, 0.3160, 0.2342), Tm at (0.0000, 0.5000, 0.5000), Tm at (0.2003, 0.0000, 0.0287), Tm at (0.2311, 0.5000, 0.5666) and Sc at (0.0000, 0.1660, 0.0000).

The crystal system is monoclinic.


Pm5Tm3Sc2 | PBE | optimized geometry

The structure belongs to space group P-1 (No. 2); the cell edges are 9.3071, 9.3076 and 9.3238 Å and the angles 106.88°, 106.47° and 115.09°. The distinct sites, in fractional coordinates, are Pm at (0.0716, 0.0256, 0.3471), Pm at (0.1214, 0.3710, 0.2486), Pm at (0.1770, 0.7285, 0.1544), Pm at (0.3738, 0.1218, 0.7517), Pm at (0.4248, 0.4783, 0.6546), Tm at (0.2726, 0.4239, 0.9471), Tm at (0.3224, 0.7763, 0.8484), Tm at (0.4730, 0.8235, 0.5533), Sc at (0.0236, 0.6687, 0.4503) and Sc at (0.2262, 0.0750, 0.0515).

The crystal system is triclinic.


Pm2Tm4Sc | PBE | optimized geometry

The structure belongs to space group Cmcm (No. 63); the cell edges are 6.6448, 11.8733 and 11.1296 Å and the angles 90.00°, 90.00° and 90.00°. The distinct sites, in fractional coordinates, are Pm at (0.0000, 0.0292, 0.2500), Pm at (0.0000, 0.3217, 0.2500), Tm at (0.0000, 0.2229, 0.5427), Tm at (0.2221, 0.5000, 0.0000) and Sc at (0.0000, 0.3994, 0.7500).

The energy above the most stable polymorph in this dataset comes out at 173.3 meV/atom. The crystal system is orthorhombic.


Pm2Tm3Sc | PBE | optimized geometry

The structure belongs to space group C2/m (No. 12); the cell edges are 14.8653, 4.9456 and 11.0967 Å and the angles 90.00°, 116.49° and 90.00°. The distinct sites, in fractional coordinates, are Pm at (0.0383, 0.0000, 0.3749), Pm at (0.2104, 0.5000, 0.3740), Tm at (0.0444, 0.5000, 0.8782), Tm at (0.1259, 0.0000, 0.1237), Tm at (0.2079, 0.0000, 0.8738) and Sc at (0.1243, 0.5000, 0.6262).

The energy above the most stable polymorph in this dataset comes out at 0.0 meV/atom. The crystal system is monoclinic.


PmTm3Sc4 | PBE | optimized geometry

The structure belongs to space group Pmn2_1 (No. 31); the cell edges are 10.7576, 6.9284 and 5.9804 Å and the angles 90.00°, 90.00° and 90.00°. The distinct sites, in fractional coordinates, are Pm at (0.0000, 0.1335, 0.0000), Tm at (0.0000, 0.8669, 0.4979), Tm at (0.2493, 0.8662, 0.8422), Sc at (0.0000, 0.3837, 0.5072), Sc at (0.0000, 0.6173, 0.0065) and Sc at (0.2477, 0.6172, 0.3350).

The crystal system is orthorhombic.


Pm2Tm4Sc3 | PBE | optimized geometry

The structure belongs to space group C2/c (No. 15); the cell edges are 15.5201, 11.2638 and 5.9987 Å and the angles 90.00°, 95.38° and 90.00°. The distinct sites, in fractional coordinates, are Pm at (0.1186, 0.1456, 0.3235), Tm at (0.0493, 0.3615, 0.0103), Tm at (0.2167, 0.1384, 0.8444), Sc at (0.0000, 0.1020, 0.7500) and Sc at (0.1656, 0.4008, 0.5892).

The energy above the most stable polymorph in this dataset comes out at 51.8 meV/atom. The crystal system is monoclinic.


Pm7Tm4Sc | PBE | optimized geometry

The structure belongs to space group P-3m1 (No. 164); the cell edges are 3.5714, 3.5714 and 34.6854 Å and the angles 90.00°, 90.00° and 120.00°. The distinct sites, in fractional coordinates, are Pm at (0.0000, 0.0000, 0.0000), Pm at (0.0000, 0.0000, 0.2542), Pm at (0.3333, 0.6667, 0.1671), Pm at (0.3333, 0.6667, 0.4215), Tm at (0.3333, 0.6667, 0.6622), Tm at (0.3333, 0.6667, 0.9166) and Sc at (0.0000, 0.0000, 0.5000).

The energy above the most stable polymorph in this dataset comes out at 11.9 meV/atom. The crystal system is trigonal.


Pm5TmSc | PBE | optimized geometry

The structure belongs to space group C2/m (No. 12); the cell edges are 11.6455, 8.7438 and 5.8332 Å and the angles 90.00°, 94.00° and 90.00°. The distinct sites, in fractional coordinates, are Pm at (0.0000, 0.0000, 0.0000), Pm at (0.0000, 0.3119, 0.5000), Pm at (0.2492, 0.0000, 0.5555), Tm at (0.0000, 0.5000, 0.0000) and Sc at (0.0000, 0.0000, 0.5000).

The crystal system is monoclinic.


How do the records compare in energy of formation from the pure elements? In the order shown, they have 0.12; 0.04; 0.19; 0.04; 0.02; 0.11; 0.03; 0.86 eV/atom.